Record 1
# GGA-PBE Hf2CuIr, optimized geometry
data_Hf2CuIr
_cell_length_a 4.5028
_cell_length_b 6.3423
_cell_length_c 4.8538
_cell_angle_alpha 90.00
_cell_angle_beta 90.00
_cell_angle_gamma 90.00
_symmetry_space_group_name_H-M 'P m m n'
_symmetry_Int_Tables_number 59
loop_
_symmetry_equiv_pos_as_xyz
'x,y,z'
'-x,-y,-z'
'-x+1/2,-y+1/2,z'
'x+1/2,y+1/2,-z'
'x+1/2,-y,-z'
'-x+1/2,y,z'
'-x,y+1/2,-z'
'x,-y+1/2,z'
loop_
_atom_site_label
_atom_site_type_symbol
_atom_site_fract_x
_atom_site_fract_y
_atom_site_fract_z
_atom_site_occupancy
Hf1 Hf 0.2500 0.0027 0.2323 1
Cu1 Cu 0.2500 0.2500 0.6985 1
Ir1 Ir 0.2500 0.7500 0.6978 1
# formation enthalpy at 0 K = -218.7 kJ/mol of formula units
# ΔE to the lowest computed polymorph = 7 meV/atom
# raw total energy = -8.69 eV per atom

=====

Record 2
# GGA-PBE TaW2Au, optimized geometry
data_TaW2Au
_cell_length_a 6.4790
_cell_length_b 6.4790
_cell_length_c 6.4790
_cell_angle_alpha 90.00
_cell_angle_beta 90.00
_cell_angle_gamma 90.00
_symmetry_space_group_name_H-M 'F -4 3 m'
_symmetry_Int_Tables_number 216
_symmetry_space_group_name_Hall 'F -4 2 3'
loop_
_atom_site_label
_atom_site_type_symbol
_atom_site_fract_x
_atom_site_fract_y
_atom_site_fract_z
_atom_site_occupancy
Ta1 Ta 0.0000 0.0000 0.0000 1
W1 W 0.0000 0.0000 0.5000 1
W2 W 0.2500 0.2500 0.7500 1
Au1 Au 0.2500 0.2500 0.2500 1
# formation enthalpy at 0 K = 123.0 kJ/mol of formula units
# raw total energy = -9.94 eV per atom

=====

Record 3
# GGA-PBE HfPaCd, optimized geometry
data_HfPaCd
_cell_length_a 6.8115
_cell_length_b 6.8115
_cell_length_c 6.8115
_cell_angle_alpha 90.00
_cell_angle_beta 90.00
_cell_angle_gamma 90.00
_symmetry_space_group_name_H-M 'F -4 3 m'
_symmetry_Int_Tables_number 216
_symmetry_space_group_name_Hall 'F -4 2 3'
loop_
_atom_site_label
_atom_site_type_symbol
_atom_site_fract_x
_atom_site_fract_y
_atom_site_fract_z
_atom_site_occupancy
Hf1 Hf 0.0000 0.0000 0.0000 1
Pa1 Pa 0.2500 0.2500 0.2500 1
Cd1 Cd 0.2500 0.2500 0.7500 1
# formation enthalpy at 0 K = 263.3 kJ/mol of formula units
# ΔE to the lowest computed polymorph = 0 meV/atom
# raw total energy = -5.87 eV per atom

=====

Record 4
# GGA-PBE TbPPdO, optimized geometry
data_TbPPdO
_cell_length_a 4.6315
_cell_length_b 4.2753
_cell_length_c 6.4655
_cell_angle_alpha 90.00
_cell_angle_beta 90.00
_cell_angle_gamma 90.00
_symmetry_space_group_name_H-M 'P m c 21'
_symmetry_Int_Tables_number 26
_symmetry_space_group_name_Hall 'P 2c -2'
loop_
_atom_site_label
_atom_site_type_symbol
_atom_site_fract_x
_atom_site_fract_y
_atom_site_fract_z
_atom_site_occupancy
Tb1 Tb 0.0000 0.1945 0.0000 1
P1 P 0.5000 0.1668 0.7037 1
Pd1 Pd 0.5000 0.3368 0.3568 1
O1 O 0.0000 0.3180 0.3468 1
# ΔE to the lowest computed polymorph = 370 meV/atom
# raw total energy = -6.56 eV per atom

=====

Record 5
# GGA-PBE BeInCuAg, optimized geometry
data_BeInCuAg
_cell_length_a 6.2660
_cell_length_b 6.2660
_cell_length_c 6.2660
_cell_angle_alpha 90.00
_cell_angle_beta 90.00
_cell_angle_gamma 90.00
_symmetry_space_group_name_H-M 'F -4 3 m'
_symmetry_Int_Tables_number 216
_symmetry_space_group_name_Hall 'F -4 2 3'
loop_
_atom_site_label
_atom_site_type_symbol
_atom_site_fract_x
_atom_site_fract_y
_atom_site_fract_z
_atom_site_occupancy
Be1 Be 0.0000 0.0000 0.0000 1
In1 In 0.0000 0.0000 0.5000 1
Cu1 Cu 0.2500 0.2500 0.7500 1
Ag1 Ag 0.2500 0.2500 0.2500 1
# ΔE to the lowest computed polymorph = 32 meV/atom
# raw total energy = -3.01 eV per atom

=====

Record 6
# GGA-PBE PrNi2AsP, optimized geometry
data_PrNi2AsP
_cell_length_a 4.1415
_cell_length_b 4.1415
_cell_length_c 9.3997
_cell_angle_alpha 90.00
_cell_angle_beta 90.00
_cell_angle_gamma 90.00
_symmetry_space_group_name_H-M 'P 4/n m m'
_symmetry_Int_Tables_number 129
loop_
_symmetry_equiv_pos_as_xyz
'x,y,z'
'-x,-y,-z'
'-y+1/2,x,z'
'y+1/2,-x,-z'
'-x+1/2,-y+1/2,z'
'x+1/2,y+1/2,-z'
'y,-x+1/2,z'
'-y,x+1/2,-z'
'x+1/2,-y,-z'
'-x+1/2,y,z'
'-y,-x,-z'
'y,x,z'
'-x,y+1/2,-z'
'x,-y+1/2,z'
'y+1/2,x+1/2,-z'
'-y+1/2,-x+1/2,z'
loop_
_atom_site_label
_atom_site_type_symbol
_atom_site_fract_x
_atom_site_fract_y
_atom_site_fract_z
_atom_site_occupancy
Pr1 Pr 0.2500 0.2500 0.2409 1
Ni1 Ni 0.2500 0.2500 0.6308 1
Ni2 Ni 0.2500 0.7500 0.0000 1
As1 As 0.2500 0.7500 0.5000 1
P1 P 0.2500 0.2500 0.8758 1
# raw total energy = -6.09 eV per atom